# FeOsCl3

FeOsCl3 after structural relaxation (PBE, the Alexandria database).

## Properties
Raw total energy   -3.836 eV/atom
Spin magnetization   3.83 μB/cell

Lattice parameters (Å, degrees): 4.6682 4.6682 4.6682 90.00 90.00 90.00
Last column: nearest neighbours and their distance in Å.
Fractional coordinates of all 5 atoms:
Fe 0.0000 0.0000 0.0000  6 Cl 2.33
Os 0.5000 0.5000 0.5000  12 Cl 3.30
Cl 0.0000 0.0000 0.5000  2 Fe 2.33
Cl 0.0000 0.5000 0.0000  2 Fe 2.33
Cl 0.5000 0.0000 0.0000  2 Fe 2.33

***

# FeOs2Cl

FeOs2Cl after structural relaxation (PBE, the Alexandria database).

## Properties
Raw total energy   -7.521 eV/atom
Spin magnetization   3.49 μB/cell

Lattice parameters (Å, degrees): 2.7723 2.7723 9.5848 90.00 90.00 119.35
Last column: nearest neighbours and their distance in Å.
Fractional coordinates of all 4 atoms:
Fe 0.0000 0.0000 0.0000  2 Cl 2.31
Os 0.0000 0.0000 0.4574  8 Os 2.60-2.80
Os 0.5000 0.5000 0.2294  8 Os 2.60-2.80, 2 Fe 2.61
Cl 0.5000 0.5000 0.8081  2 Fe 2.31

***

# FeOs2Cl

FeOs2Cl after structural relaxation (PBE, the Alexandria database).

## Properties
Raw total energy   -7.356 eV/atom
Spin magnetization   2.30 μB/cell

Lattice parameters (Å, degrees): 2.9315 2.9315 6.9009 90.00 90.00 90.00
Last column: nearest neighbours and their distance in Å.
Fractional coordinates of all 4 atoms:
Fe 0.0000 0.0000 0.0000  8 Os 2.50
Os 0.5000 0.5000 0.2022  4 Fe 2.50, 1 Os 2.79
Os 0.5000 0.5000 0.7978  4 Fe 2.50, 1 Os 2.79
Cl 0.0000 0.0000 0.5000  8 Os 2.92, 4 Cl 2.93

***

# Fe3OsCl

Fe3OsCl after structural relaxation (PBE, the Alexandria database).

## Properties
Raw total energy   -6.377 eV/atom
Spin magnetization   0.00 μB/cell

Lattice parameters (Å, degrees): 4.0187 4.0187 4.0187 90.00 90.00 90.00
Last column: nearest neighbours and their distance in Å.
Fractional coordinates of all 5 atoms:
Fe 0.0000 0.0000 0.5000  2 Cl 2.01
Fe 0.0000 0.5000 0.0000  2 Cl 2.01
Fe 0.5000 0.0000 0.0000  2 Cl 2.01
Os 0.5000 0.5000 0.5000  12 Fe 2.84
Cl 0.0000 0.0000 0.0000  6 Fe 2.01

***

# Fe2OsCl

Fe2OsCl after structural relaxation (PBE, the Alexandria database).

## Properties
Raw total energy   -6.587 eV/atom
Spin magnetization   2.04 μB/cell

Lattice parameters (Å, degrees): 5.9388 5.9388 5.9388 124.77 124.77 81.92
Last column: nearest neighbours and their distance in Å.
Fractional coordinates of all 8 atoms:
Fe 0.1221 0.6250 0.9971  2 Cl 2.24, 2 Os 2.26
Fe 0.3750 0.3721 0.4971  2 Cl 2.24, 2 Os 2.26
Fe 0.6279 0.1250 0.0029  2 Cl 2.24, 2 Os 2.26
Fe 0.8750 0.8779 0.5029  2 Cl 2.24, 2 Os 2.26
Os 0.2500 0.7500 0.5000  4 Fe 2.26
Os 0.5000 0.5000 0.0000  4 Fe 2.26
Cl 0.0000 0.0000 0.0000  4 Fe 2.24
Cl 0.7500 0.2500 0.5000  4 Fe 2.24

***

# Fe2OsCl

Fe2OsCl after structural relaxation (PBE, the Alexandria database).

## Properties
Raw total energy   -7.167 eV/atom
Spin magnetization   5.19 μB/cell

Lattice parameters (Å, degrees): 8.1522 8.1522 8.1522 19.83 19.83 19.83
Last column: nearest neighbours and their distance in Å.
Fractional coordinates of all 4 atoms:
Fe 0.2476 0.2476 0.2476  3 Cl 2.53, 3 Os 2.62, 6 Fe 2.81
Fe 0.7524 0.7524 0.7524  3 Cl 2.53, 3 Os 2.62, 6 Fe 2.81
Os 0.0000 0.0000 0.0000  6 Fe 2.62, 6 Os 2.81
Cl 0.5000 0.5000 0.5000  6 Fe 2.53, 6 Cl 2.81

***

# Fe2OsCl

Fe2OsCl after structural relaxation (PBE, the Alexandria database).

## Properties
Raw total energy   -6.487 eV/atom
Spin magnetization   3.98 μB/cell

Lattice parameters (Å, degrees): 4.2243 4.2243 4.2243 60.00 60.00 60.00
Last column: nearest neighbours and their distance in Å.
Fractional coordinates of all 4 atoms:
Fe 0.0000 0.0000 0.0000  4 Fe 2.59, 4 Os 2.59
Fe 0.2500 0.2500 0.2500  4 Cl 2.59, 4 Fe 2.59
Os 0.7500 0.7500 0.7500  4 Cl 2.59, 4 Fe 2.59
Cl 0.5000 0.5000 0.5000  4 Os 2.59, 4 Fe 2.59

***

# FeOs2Cl

FeOs2Cl after structural relaxation (PBE, the Alexandria database).

## Properties
Raw total energy   -7.667 eV/atom
Spin magnetization   2.94 μB/cell

Lattice parameters (Å, degrees): 2.8195 2.8195 7.7014 90.00 90.00 90.00
Last column: nearest neighbours and their distance in Å.
Fractional coordinates of all 4 atoms:
Fe 0.0000 0.0000 0.0000  4 Cl 2.54, 4 Os 2.81, 4 Fe 2.82
Os 0.0000 0.0000 0.4691  8 Os 2.58-2.82
Os 0.5000 0.5000 0.2565  8 Os 2.58-2.82, 4 Fe 2.81
Cl 0.5000 0.5000 0.7960  4 Fe 2.54, 4 Cl 2.82

***

# Fe2OsCl

Fe2OsCl after structural relaxation (PBE, the Alexandria database).

## Properties
Raw total energy   -6.996 eV/atom
Spin magnetization   5.62 μB/cell

Lattice parameters (Å, degrees): 2.8283 2.8283 8.0097 90.00 90.00 90.00
Last column: nearest neighbours and their distance in Å.
Fractional coordinates of all 4 atoms:
Fe 0.0000 0.0000 0.0000  4 Cl 2.50, 4 Fe 2.66
Fe 0.5000 0.5000 0.2187  4 Os 2.45, 4 Fe 2.66
Os 0.0000 0.0000 0.3958  4 Fe 2.45
Cl 0.5000 0.5000 0.8125  4 Fe 2.50

***

# Fe2OsCl

Fe2OsCl after structural relaxation (PBE, the Alexandria database).

## Properties
Raw total energy   -6.632 eV/atom
Spin magnetization   5.96 μB/cell

Lattice parameters (Å, degrees): 2.8068 4.3971 4.4535 90.00 90.00 90.00
Last column: nearest neighbours and their distance in Å.
Fractional coordinates of all 4 atoms:
Fe 0.0000 0.0000 0.0000  6 Fe 2.61-2.81, 4 Cl 2.63
Fe 0.5000 0.5000 0.0000  6 Fe 2.61-2.81, 4 Os 2.63
Os 0.0000 0.5000 0.5000  4 Cl 2.61, 4 Fe 2.63, 2 Os 2.81
Cl 0.5000 0.0000 0.5000  4 Os 2.61, 4 Fe 2.63, 2 Cl 2.81

***

# FeOs2Cl

FeOs2Cl after structural relaxation (PBE, the Alexandria database).

## Properties
Raw total energy   -7.785 eV/atom
Spin magnetization   2.75 μB/cell

Lattice parameters (Å, degrees): 8.6914 8.6914 8.6914 18.68 18.68 18.68
Last column: nearest neighbours and their distance in Å.
Fractional coordinates of all 4 atoms:
Fe 0.0000 0.0000 0.0000  3 Cl 2.37
Os 0.4969 0.4969 0.4969  9 Os 2.60-2.82
Os 0.7510 0.7510 0.7510  9 Os 2.60-2.82, 3 Fe 2.71
Cl 0.2661 0.2661 0.2661  3 Fe 2.37

***

# FeOs2Cl

FeOs2Cl after structural relaxation (PBE, the Alexandria database).

## Properties
Raw total energy   -7.376 eV/atom
Spin magnetization   3.22 μB/cell

Lattice parameters (Å, degrees): 2.7825 2.7825 8.8105 90.00 90.00 120.67
Last column: nearest neighbours and their distance in Å.
Fractional coordinates of all 4 atoms:
Fe 0.0000 0.0000 0.0000  4 Os 2.52, 6 Fe 2.75-2.78
Os 0.5000 0.5000 0.2394  2 Fe 2.52, 2 Cl 2.68, 6 Os 2.75-2.78
Os 0.5000 0.5000 0.7606  2 Fe 2.52, 2 Cl 2.68, 6 Os 2.75-2.78
Cl 0.0000 0.0000 0.5000  4 Os 2.68, 6 Cl 2.75-2.78